Entry from Alexandria via LeMat-Bulk: a geometry-optimized CdSeN2 structure (PBE-GGA).

- SG: R-3m (166)
- Formation energy from raw total energies: 4.60 eV/f.u.
- Density: 6.17 Mg/m³

```
CdSeN2
1.0
1.8975 0.0000 6.3138
-0.9488 1.6433 6.3138
-0.9488 -1.6433 6.3138
Cd N Se
1 2 1
direct
0.0000 0.0000 0.0000
0.8895 0.8895 0.8895
0.1105 0.1105 0.1105
0.5000 0.5000 0.5000
```

=====

Entry from Alexandria via LeMat-Bulk: a geometry-optimized MnAsSe2I structure (PBE-GGA).

- SG: P4/mmm (123)
- Formation energy from raw total energies: 1.74 eV/f.u.
- Density: 6.08 Mg/m³

```
MnAsSe2I
1.0
-1.5105 -0.4498 4.2438
-0.5363 -4.4461 -0.6621
5.1670 -0.8832 1.7455
Mn Se I As
1 2 1 1
direct
0.0000 0.0000 0.0000
0.0000 0.5000 0.0000
0.5000 0.0000 0.0000
0.5000 0.5000 0.5000
0.0000 0.0000 0.5000
```

=====

Which formula does entry 2 have? MnAsSe2I